NiGeO3 | Alexandria via LeMat-Bulk | PBE+U | optimized geometry; crystal system = orthorhombic; VASP energy = -5.668 eV/atom
1.0
2.9004 0.0000 0.0000
0.0000 7.0847 0.0000
0.0000 0.0000 10.0070
Ni O Ge
4 12 4
Direct
0.2500 0.4904 0.1899
0.7500 0.0096 0.6899
0.7500 0.5096 0.8101
0.2500 0.9904 0.3101
0.2500 0.9762 0.1033
0.7500 0.3159 0.0570
0.2500 0.8242 0.6809
0.2500 0.3242 0.8191
0.2500 0.1841 0.5570
0.7500 0.5238 0.6033
0.2500 0.6841 0.9430
0.7500 0.1758 0.3191
0.7500 0.6758 0.1809
0.2500 0.4762 0.3967
0.7500 0.8159 0.4430
0.7500 0.0238 0.8967
0.7500 0.8124 0.0277
0.2500 0.1876 0.9723
0.7500 0.3124 0.4723
0.2500 0.6876 0.5277


Ni2GeO4 | Alexandria via LeMat-Bulk | PBE+U | optimized geometry; crystal system = tetragonal; energy above the most stable polymorph in this dataset = 0.6053 eV per atom; VASP energy = -5.012 eV/atom
1.0
-0.5990 1.5240 -3.2321
-3.3687 0.8524 1.0263
-0.1350 6.1121 0.8761
Ni O Ge
2 4 1
Direct
0.3428 0.3428 0.3144
0.6572 0.6572 0.6856
0.8277 0.8277 0.3447
0.5000 0.0000 0.0000
0.1723 0.1723 0.6553
0.0000 0.5000 0.0000
0.0000 0.0000 0.0000


NiGeO3 | Alexandria via LeMat-Bulk | PBE+U | optimized geometry; crystal system = cubic; VASP energy = -4.924 eV/atom
1.0
-2.0306 -2.4617 -1.8167
2.7294 -0.4726 -2.4104
1.3821 -2.6833 2.0912
Ge Ni O
1 1 3
Direct
0.0000 0.0000 0.0000
0.5000 0.5000 0.5000
0.5000 0.0000 0.0000
0.0000 0.5000 0.0000
0.0000 0.0000 0.5000


NiGeO2 | Alexandria via LeMat-Bulk | PBE+U | optimized geometry; crystal system = trigonal; VASP energy = -5.147 eV/atom
1.0
1.7153 0.0000 5.8491
-0.8576 1.4855 5.8491
-0.8576 -1.4855 5.8491
Ge Ni O
1 1 2
Direct
0.0000 0.0000 0.0000
0.5000 0.5000 0.5000
0.8957 0.8957 0.8957
0.1043 0.1043 0.1043


Ni2GeO | Alexandria via LeMat-Bulk | PBE+U | optimized geometry; crystal system = cubic; energy above the most stable polymorph in this dataset = 0.5183 eV per atom; VASP energy = -3.097 eV/atom
1.0
-3.4548 -1.8312 0.1200
-3.2630 2.0262 0.7421
-2.6254 0.5885 -2.8398
Ni Ge O
2 1 1
Direct
0.7500 0.7500 0.7500
0.2500 0.2500 0.2500
0.5000 0.5000 0.5000
0.0000 0.0000 0.0000


Ni2GeO | Alexandria via LeMat-Bulk | PBE+U | optimized geometry; crystal system = tetragonal; energy above the most stable polymorph in this dataset = 0.0000 eV per atom; VASP energy = -3.615 eV/atom
1.0
-0.4148 0.3302 -5.3315
-5.2473 -1.0262 0.3447
-3.5922 3.6472 -2.1868
Ni Ge O
4 2 2
Direct
0.1965 0.6250 0.2500
0.5535 0.1250 0.2500
0.8750 0.8035 0.7500
0.3750 0.4465 0.7500
0.0000 0.0000 0.0000
0.7500 0.2500 0.5000
0.5000 0.5000 0.0000
0.2500 0.7500 0.5000


Ni2GeO4 | Alexandria via LeMat-Bulk | PBE+U | optimized geometry; crystal system = cubic; energy above the most stable polymorph in this dataset = 0.0000 eV per atom; VASP energy = -5.618 eV/atom
1.0
-4.0493 -3.3466 2.6337
-2.1098 -4.7562 -2.7313
1.4232 -5.3668 1.9246
O Ni Ge
8 4 2
Direct
0.8750 0.3751 0.8750
0.3750 0.3750 0.3750
0.3751 0.8750 0.8750
0.3750 0.3750 0.8749
0.8749 0.3750 0.3750
0.3750 0.8749 0.3750
0.8750 0.8750 0.8750
0.8750 0.8750 0.3751
0.6250 0.1250 0.6250
0.6250 0.6250 0.6250
0.1250 0.6250 0.6250
0.6250 0.6250 0.1250
0.2500 0.2500 0.2500
0.0000 0.0000 0.0000


NiGeO2 | Alexandria via LeMat-Bulk | PBE+U | optimized geometry; crystal system = tetragonal; VASP energy = -4.948 eV/atom
1.0
-0.0033 4.7728 1.0910
-1.9900 0.9955 -4.3611
-5.0000 2.4847 0.1005
O Ni Ge
4 2 2
Direct
0.6674 0.1250 0.2500
0.8750 0.9174 0.7500
0.3750 0.3326 0.7500
0.0826 0.6250 0.2500
0.5000 0.5000 0.0000
0.2500 0.7500 0.5000
0.0000 0.0000 0.0000
0.7500 0.2500 0.5000


NiGeO2 | Alexandria via LeMat-Bulk | PBE+U | optimized geometry; crystal system = triclinic; VASP energy = -5.234 eV/atom
1.0
-1.1673 -4.0809 -4.1358
2.0031 -4.8745 -0.5166
-2.3433 -1.6827 3.5453
Ge O Ni
2 4 2
Direct
0.6785 0.6981 0.7865
0.5386 0.2529 0.1644
0.8557 0.2574 0.1697
0.2992 0.9406 0.8288
0.8350 0.7895 0.1401
0.4968 0.1560 0.5327
0.0529 0.3600 0.4977
0.1077 0.8388 0.0273


NiGeO3 | Alexandria via LeMat-Bulk | PBE+U | optimized geometry; crystal system = cubic; VASP energy = -4.709 eV/atom
1.0
-0.0278 1.4678 3.3983
-3.4043 -1.3448 0.5530
1.4538 -3.1210 1.3600
O Ni Ge
3 1 1
Direct
0.0000 0.5000 0.0000
0.5000 0.0000 0.0000
0.0000 0.0000 0.5000
0.0000 0.0000 0.0000
0.5000 0.5000 0.5000


NiGeO3 | Alexandria via LeMat-Bulk | PBE+U | optimized geometry; crystal system = monoclinic; VASP energy = -5.652 eV/atom
1.0
-1.8417 0.8568 1.9031
2.5554 -4.3180 2.3816
5.4765 5.1472 2.9825
O Ni Ge
6 2 2
Direct
0.6916 0.3832 0.1194
0.8684 0.7368 0.5868
0.3084 0.6168 0.8806
0.0382 0.0764 0.8024
0.9618 0.9236 0.1976
0.1316 0.2632 0.4132
0.6746 0.3491 0.8678
0.3254 0.6509 0.1322
0.5792 0.1585 0.2846
0.4208 0.8415 0.7154


NiGePO2 | Alexandria via LeMat-Bulk | PBE+U | optimized geometry; crystal system = tetragonal; energy above the most stable polymorph in this dataset = 0.0000 eV per atom; VASP energy = -4.648 eV/atom
1.0
-3.1417 1.6831 0.4851
-0.6725 -2.0789 2.8573
2.4014 3.5706 3.1630
Ni P O Ge
1 1 2 1
Direct
0.5000 0.5000 0.5000
0.0000 0.0000 0.5000
0.0000 0.5000 0.0000
0.5000 0.0000 0.0000
0.0000 0.0000 0.0000


Computed spin magnetization (μB per cell) in order:
8.00; 4.00; 2.00; 2.00; 0.00; 4.00; 8.00; 2.00; 2.00; 0.13; 4.00; 1.42